Here is crystalline Pm2Ge5Rh at its relaxed geometry from Alexandria via LeMat-Bulk. Energies are from PBE.

Unit cell a=6.216 b=6.216 c=6.234 alpha=119.91 beta=119.91 gamma=90.00
Positions (direct):
1 Ge 0.721 0.721 0.011
2 Ge 0.290 0.290 0.011
3 Ge 0.723 0.723 0.447
4 Ge 0.290 0.721 0.011
5 Pm 0.766 0.266 0.533
6 Ge 0.721 0.290 0.011
7 Rh 0.000 0.000 0.000
8 Pm 0.266 0.766 0.533

Results
- Space-group type: I4mm (107)
- Energy relative to the elements: -0.501 eV per atom

Here is crystalline TaAsHRh2 at its relaxed geometry from Alexandria via LeMat-Bulk. Energies are from PBE.

Unit cell a=4.863 b=3.360 c=4.863 alpha=90.00 beta=90.00 gamma=90.00
Positions (direct):
1 H 0.000 0.500 0.000
2 Rh 0.500 0.000 0.000
3 As 0.500 0.500 0.500
4 Ta 0.000 0.000 0.000
5 Rh 0.000 0.000 0.500

Results
- Space-group type: P4/mmm (123)
- Total DFT energy (no corrections): -6.434 eV per atom

Here is crystalline VReMo at its relaxed geometry from Alexandria via LeMat-Bulk. Energies are from PBE.

Unit cell a=6.863 b=6.675 c=2.701 alpha=82.45 beta=74.59 gamma=22.96
Positions (direct):
1 Re 0.329 0.329 0.671
2 V 0.669 0.669 0.331
3 Mo 0.002 0.002 0.998

Results
- Space-group type: Fmm2 (42)
- Relative energy among the computed polymorphs: 0.087 eV/atom
- Energy relative to the elements: -0.108 eV per atom

Here is crystalline TbSc2Tc at its relaxed geometry from Alexandria via LeMat-Bulk. Energies are from PBE.

Unit cell a=3.297 b=3.297 c=8.425 alpha=90.00 beta=90.00 gamma=90.00
Positions (direct):
1 Tc 0.500 0.500 0.000
2 Sc 0.000 0.000 0.181
3 Tb 0.500 0.500 0.500
4 Sc 0.000 0.000 0.819

Results
- Space-group type: P4/mmm (123)
- Relative energy among the computed polymorphs: 0.052 eV/atom
- Energy relative to the elements: -0.098 eV per atom

Number 1: density of states at the Fermi level 4.3 states/eV/cell. Number 2: density of states at the Fermi level 4.1 states/eV/cell. Number 3: density of states at the Fermi level 2.8 states/eV/cell. Number 4: density of states at the Fermi level 6.1 states/eV/cell.